1.
VASP calculation (PBE) on crystalline ZnAg2Rh at its relaxed geometry.

Lattice parameters (Å, degrees): 5.2113 5.2113 5.2113 144.41 128.11 64.50
Last column: nearest neighbours and their distance in Å.
Sites, in units of the cell vectors:
Ag  0.7478  0.2478  0.5000  4 Zn 2.78, 4 Rh 2.84-3.07, 4 Ag 2.84-3.07
Ag  0.0143  0.0143  0.0000  2 Zn 2.66, 4 Rh 2.80, 2 Ag 2.84
Zn  0.2565  0.7565  0.5000  2 Rh 2.54, 6 Ag 2.66-2.78
Rh  0.4814  0.4814  0.0000  2 Zn 2.54, 6 Ag 2.80-2.84

ΔE_f: 0.03 eV/atom
Fermi-level density of states: 0.424 states/eV/atom

2.
VASP calculation (PBE) on crystalline PrDyY2 at its relaxed geometry.

Lattice parameters (Å, degrees): 5.0885 5.0919 5.0919 90.00 90.00 90.00
Last column: nearest neighbours and their distance in Å.
Sites, in units of the cell vectors:
Y  0.0000  0.0000  0.5000  4 Dy 3.60, 4 Pr 3.60, 4 Y 3.60
Y  0.0000  0.5000  0.0000  4 Dy 3.60, 4 Pr 3.60, 4 Y 3.60
Pr  0.5000  0.0000  0.0000  8 Y 3.60, 4 Dy 3.60
Dy  0.5000  0.5000  0.5000  8 Y 3.60, 4 Pr 3.60

ΔE_f: 0.02 eV/atom
Fermi-level density of states: 1.540 states/eV/atom

3.
VASP calculation (PBE) on crystalline YCu2W at its relaxed geometry.

Lattice parameters (Å, degrees): 5.2747 5.2747 4.8697 70.03 70.03 31.69
Last column: nearest neighbours and their distance in Å.
Sites, in units of the cell vectors:
W  0.4828  0.4828  0.5640  7 Cu 2.79-2.92, 2 W 2.88, 2 Y 3.09
Cu  0.0246  0.0246  0.0186  2 Cu 2.55, 2 W 2.80, 1 Y 2.85
Cu  0.7321  0.7321  0.7122  2 Cu 2.55, 2 Y 2.78, 2 W 2.79
Y  0.2605  0.2605  0.2053  7 Cu 2.78-2.90, 2 Y 2.88, 2 W 3.09

ΔE_f: 0.38 eV/atom
Fermi-level density of states: 1.009 states/eV/atom

4.
VASP calculation (PBE) on crystalline Li4Ca3Tl4 at its relaxed geometry.

Lattice parameters (Å, degrees): 3.5835 4.9655 16.0378 81.09 83.60 90.11
Last column: nearest neighbours and their distance in Å.
Sites, in units of the cell vectors:
Li  0.4062  0.9059  0.1875  3 Tl 2.82-2.90
Li  0.7392  0.7399  0.5208  4 Tl 2.95-3.01, 4 Li 3.13-3.14
Li  0.5938  0.0941  0.8125  3 Tl 2.82-2.90
Li  0.2608  0.2601  0.4792  4 Tl 2.95-3.01, 4 Li 3.13-3.14
Ca  0.0000  0.0000  0.0000  4 Li 3.45, 8 Tl 3.45-3.46, 2 Ca 3.58
Ca  0.1434  0.6434  0.7142  6 Tl 3.34-3.40, 6 Li 3.43-3.53, 2 Ca 3.58
Ca  0.8566  0.3567  0.2858  6 Tl 3.34-3.41, 6 Li 3.43-3.53, 2 Ca 3.58
Tl  0.6869  0.1861  0.6286  5 Li 2.90-3.01
Tl  0.4489  0.4491  0.1019  2 Li 2.82-2.83
Tl  0.5512  0.5510  0.8981  2 Li 2.82-2.83
Tl  0.3131  0.8139  0.3714  5 Li 2.90-3.01

ΔE_f: -0.28 eV/atom
Fermi-level density of states: 0.753 states/eV/atom

5.
VASP calculation (PBE) on crystalline Y3As at its relaxed geometry.

Lattice parameters (Å, degrees): 6.0808 6.0808 6.0808 116.43 116.43 116.43
Last column: nearest neighbours and their distance in Å.
Sites, in units of the cell vectors:
Y  0.5000  0.0000  0.5000  6 Y 3.20-3.49, 2 As 3.20
Y  0.5000  0.5000  0.0000  6 Y 3.20-3.49, 2 As 3.20
Y  0.0000  0.5000  0.5000  2 As 3.20, 6 Y 3.20-3.49
As  0.0000  0.0000  0.0000  6 Y 3.20, 2 As 3.49

ΔE_f: -0.27 eV/atom
Fermi-level density of states: 0.861 states/eV/atom

6.
VASP calculation (PBE) on crystalline PuThBi2 at its relaxed geometry.

Lattice parameters (Å, degrees): 4.4529 4.4529 8.3969 74.62 74.62 60.00
Last column: nearest neighbours and their distance in Å.
Sites, in units of the cell vectors:
Bi  0.0807  0.0807  0.7579  3 Pu 3.19, 3 Th 3.28
Bi  0.2519  0.2519  0.2444  3 Pu 3.26, 3 Th 3.30
Th  0.4988  0.4988  0.5037  6 Bi 3.28-3.30
Pu  0.6687  0.6687  0.9940  6 Bi 3.19-3.26

ΔE_f: -0.40 eV/atom
Fermi-level density of states: 3.494 states/eV/atom